# 1
This record from the Alexandria database describes an optimized crystal structure of Tb7CeDy12. The functional is PBE-GGA.

Cell: 11.285 11.285 11.285 Å, 90.00 90.00 90.00°
Space group Im-3 (No. 204)
One atom of each set of equivalent atoms:
Tb1 0.000 0.000 0.500 [6 per cell]
Tb2 0.250 0.250 0.250 [8 per cell]
Ce1 0.000 0.000 0.000 [2 per cell]
Dy1 0.000 0.255 0.254 [24 per cell]

Properties
Its formation energy from the elements is 0.710 eV/atom.

# 2
This record from the Alexandria database describes an optimized crystal structure of NbGeAs2Se. The functional is PBE-GGA.

Cell: 4.794 4.794 4.868 Å, 90.00 90.00 90.00°
Space group P4/mmm (No. 123)
One atom of each set of equivalent atoms:
Nb1 0.000 0.000 0.000 [1 per cell]
Ge1 0.500 0.500 0.500 [1 per cell]
As1 0.000 0.500 0.500 [2 per cell]
Se1 0.500 0.500 0.000 [1 per cell]

Properties
The value obtained for the uncorrected formation energy is 949 meV per atom.

# 3
This record from the Alexandria database describes an optimized crystal structure of Os2PbCl2. The functional is PBE-GGA.

Cell: 4.165 4.165 11.071 Å, 90.00 90.00 90.00°
Space group I4/mmm (No. 139)
One atom of each set of equivalent atoms:
Os1 0.000 0.500 0.250 [4 per cell]
Pb1 0.000 0.000 0.000 [2 per cell]
Cl1 0.000 0.000 0.363 [4 per cell]

Properties
The value obtained for the uncorrected formation energy is 1240 meV per atom.

# 4
This record from the Alexandria database describes an optimized crystal structure of ScTcAg2. The functional is PBE-GGA.

Cell: 6.602 6.602 6.602 Å, 90.00 90.00 90.00°
Space group Fm-3m (No. 225)
One atom of each set of equivalent atoms:
Sc1 0.000 0.000 0.000 [4 per cell]
Tc1 0.000 0.000 0.500 [4 per cell]
Ag1 0.250 0.250 0.250 [8 per cell]

Properties
Its formation energy from the elements is 0.290 eV/atom.

Number 1: density 7.40 Mg/m³, Fermi-level density of states 31.1 states/eV/f.u.. Number 2: density 5.85 Mg/m³, Fermi-level density of states 5.2 states/eV/f.u.. Number 3: density 11.39 Mg/m³, Fermi-level density of states 6.3 states/eV/f.u.. Number 4: density 8.28 Mg/m³, Fermi-level density of states 2.7 states/eV/f.u..